Record 1
A relaxed Tb4AlIn2 crystal. Source: Alexandria, functional PBE-GGA.

a = 7.715 Å, b = 7.715 Å, c = 7.715 Å
α = 136.81°, β = 136.81°, γ = 62.73°
Fractional coordinates of all 7 atoms:
Tb (0.000, 0.500, 0.500)
Tb (0.250, 0.750, 0.500)
Tb (0.500, 0.000, 0.500)
Tb (0.750, 0.250, 0.500)
Al (0.000, 0.000, 0.000)
In (0.375, 0.375, 0.000)
In (0.625, 0.625, 0.000)

Properties
Formation energy (eV/f.u.): -0.1
Crystal system: tetragonal
Polymorph energy (0 for the lowest one) (eV/atom): 0.2696

=====

Record 2
A relaxed La2Pb2Au crystal. Source: Alexandria, functional PBE-GGA.

a = 8.314 Å, b = 8.314 Å, c = 4.810 Å
α = 90.00°, β = 90.00°, γ = 90.00°
Fractional coordinates of all 10 atoms:
La (0.172, 0.328, 0.000)
La (0.328, 0.828, 0.000)
La (0.672, 0.172, 0.000)
La (0.828, 0.672, 0.000)
Pb (0.130, 0.630, 0.500)
Pb (0.370, 0.130, 0.500)
Pb (0.630, 0.870, 0.500)
Pb (0.870, 0.370, 0.500)
Au (0.000, 0.000, 0.000)
Au (0.500, 0.500, 0.000)

Properties
Formation energy (eV/f.u.): -2.3
Crystal system: tetragonal
Polymorph energy (0 for the lowest one) (eV/atom): 0.1611

=====

Record 3
A relaxed La6Ge2BiTe3 crystal. Source: Alexandria, functional PBE-GGA.

a = 10.214 Å, b = 10.214 Å, c = 9.187 Å
α = 103.08°, β = 103.08°, γ = 25.73°
Fractional coordinates of all 12 atoms:
La (0.009, 0.009, 0.254)
La (0.327, 0.327, 0.430)
La (0.331, 0.331, 0.895)
La (0.669, 0.669, 0.105)
La (0.673, 0.673, 0.570)
La (0.991, 0.991, 0.746)
Ge (0.168, 0.168, 0.334)
Ge (0.832, 0.832, 0.666)
Bi (0.500, 0.500, 0.000)
Te (0.163, 0.163, 0.833)
Te (0.500, 0.500, 0.500)
Te (0.837, 0.837, 0.167)

Properties
Crystal system: monoclinic
ΔE_f (raw) (meV per atom): -1313

=====

Record 4
A relaxed TbDy2ErO6 crystal. Source: Alexandria, functional PBE-GGA.

a = 6.066 Å, b = 6.066 Å, c = 6.066 Å
α = 57.20°, β = 57.20°, γ = 57.20°
Fractional coordinates of all 10 atoms:
Tb (0.000, 0.000, 0.000)
Dy (0.282, 0.282, 0.282)
Dy (0.783, 0.783, 0.783)
Er (0.498, 0.498, 0.498)
O (0.101, 0.681, 0.393)
O (0.187, 0.598, 0.887)
O (0.393, 0.101, 0.681)
O (0.598, 0.887, 0.187)
O (0.681, 0.393, 0.101)
O (0.887, 0.187, 0.598)

Properties
Crystal system: trigonal
ΔE_f (raw) (meV per atom): -3545

=====

Record 5
A relaxed SiIrSe2 crystal. Source: Alexandria, functional PBE-GGA.

a = 2.861 Å, b = 2.861 Å, c = 9.502 Å
α = 90.00°, β = 90.00°, γ = 90.00°
Fractional coordinates of all 4 atoms:
Si (0.000, 0.000, 0.000)
Ir (0.500, 0.500, 0.148)
Se (0.000, 0.000, 0.372)
Se (0.500, 0.500, 0.758)

Properties
Crystal system: tetragonal
ΔE_f (raw) (meV per atom): 210

=====

Record 6
A relaxed TmSc2Al crystal. Source: Alexandria, functional PBE-GGA.

a = 3.314 Å, b = 3.314 Å, c = 8.526 Å
α = 90.00°, β = 90.00°, γ = 90.00°
Fractional coordinates of all 4 atoms:
Tm (0.000, 0.000, 0.000)
Sc (0.500, 0.500, 0.287)
Sc (0.500, 0.500, 0.713)
Al (0.000, 0.000, 0.500)

Properties
Formation energy (eV/f.u.): -0.8
Crystal system: tetragonal
Polymorph energy (0 for the lowest one) (eV/atom): 0.0238

=====

no.,uncorrected energy (eV per cell)
1,-27.8
2,-45.8
3,-67.9
4,-83.6
5,-20.4
6,-21.7